The following is a meta-GGA SCAN calculation of a PBEsol-optimized structure of Pd2PtC2, from the Alexandria database.

```
Pd2PtC2
1.0
3.887 0.000 0.000
0.000 3.887 0.000
0.000 0.000 7.503
Pd Pt C
4 2 4
Direct
0.000 0.500 0.250
0.000 0.500 0.750
0.500 0.000 0.250
0.500 0.000 0.750
0.000 0.000 0.000
0.500 0.500 0.500
0.000 0.000 0.405
0.000 0.000 0.595
0.500 0.500 0.095
0.500 0.500 0.905
```

Output
D(E_F)   2.17 states/eV/f.u.
Magnetization   0.00 μB/atom
Space-group type   I4/mmm (139)
Formation enthalpy at 0 K   0.9194 eV per atom